[1]
Computed, not measured: a geometry-optimized CsAg3F9 structure at the PBE level of DFT.

```
13
Lattice="4.200 0.000 0.000 0.000 6.984 -4.032 0.000 0.000 8.064" Properties=species:S:1:pos:R:3 pbc="T T T"
Cs 0.000 0.000 0.000
Ag 2.100 0.000 4.032
Ag 2.100 3.492 -2.016
Ag 2.100 3.492 2.016
F 0.000 0.000 4.032
F 2.100 1.416 2.452
F 2.100 1.416 5.612
F 2.100 4.152 4.032
F 0.000 3.492 -2.016
F 2.100 2.831 0.000
F 0.000 3.492 2.016
F 2.100 5.568 -1.580
F 2.100 5.568 1.580
```

- Crystal system: hexagonal
- Formation energy from raw total energies: -18.0 eV/f.u.
- D(E_F): 5.80 states/eV/f.u.

***

[2]
Computed, not measured: a geometry-optimized ScVOs2 structure at the PBE level of DFT.

```
4
Lattice="3.087 0.000 0.000 0.000 3.087 0.000 0.000 0.000 6.363" Properties=species:S:1:pos:R:3 pbc="T T T"
Sc 1.544 1.544 3.182
Os 0.000 0.000 4.907
Os 0.000 0.000 1.456
V 1.544 1.544 0.000
```

- Crystal system: tetragonal
- E_form: -0.39 eV/atom
- D(E_F): 1.20 states/eV/f.u.

***

[3]
Computed, not measured: a geometry-optimized Be2SiBr structure at the PBE level of DFT.

```
8
Lattice="5.361 0.000 0.000 0.000 5.361 0.000 2.681 2.681 5.176" Properties=species:S:1:pos:R:3 pbc="T T T"
Be 3.893 1.340 1.294
Be 1.468 4.021 1.294
Be 4.021 4.148 3.882
Be 6.702 6.574 3.882
Si 2.681 2.681 0.000
Si 2.681 5.361 2.588
Br 0.000 0.000 0.000
Br 5.361 2.681 2.588
```

- Crystal system: tetragonal
- Formation energy from raw total energies: 1.3 eV/f.u.
- Relative energy among the computed polymorphs: 31 meV per atom
- D(E_F): 3.48 states/eV/f.u.

***

[4]
Computed, not measured: a geometry-optimized TbTiP2Rh5 structure at the PBE level of DFT.

```
9
Lattice="4.054 0.000 0.000 0.000 4.054 0.000 0.000 0.000 9.865" Properties=species:S:1:pos:R:3 pbc="T T T"
Tb 2.027 2.027 4.932
Ti 0.000 0.000 0.000
P 0.000 0.000 2.702
P 0.000 0.000 7.163
Rh 0.000 0.000 4.932
Rh 0.000 2.027 8.246
Rh 2.027 0.000 1.619
Rh 0.000 2.027 1.619
Rh 2.027 0.000 8.246
```

- Crystal system: tetragonal
- E_form: -0.52 eV/atom
- D(E_F): 3.23 states/eV/f.u.

***

[5]
Computed, not measured: a geometry-optimized CoRe2As structure at the PBE level of DFT.

```
4
Lattice="4.649 -0.002 0.001 3.790 2.693 0.001 0.365 0.116 4.497" Properties=species:S:1:pos:R:3 pbc="T T T"
As 4.357 1.389 2.181
Co 2.323 0.741 1.111
Re 0.003 0.001 0.020
Re 6.523 2.080 3.435
```

- Crystal system: monoclinic
- E_form: 0.29 eV/atom
- D(E_F): 3.73 states/eV/f.u.

***

[6]
Computed, not measured: a geometry-optimized LiAgF4 structure at the PBE level of DFT.

```
12
Lattice="6.380 -0.001 0.000 1.794 6.123 0.000 -4.087 -3.061 3.825" Properties=species:S:1:pos:R:3 pbc="T T T"
Li 6.131 4.592 0.000
Li 2.044 1.531 0.000
Ag -1.147 1.531 1.913
Ag 1.147 -1.531 1.913
F 1.390 0.427 1.913
F 6.329 2.351 0.491
F -0.801 -1.214 1.913
F -0.051 2.351 3.334
F 4.138 0.710 0.491
F 4.888 4.275 1.913
F -2.242 0.710 3.334
F 2.697 2.634 1.913
```

- Crystal system: tetragonal
- Formation energy from raw total energies: -10.0 eV/f.u.
- Relative energy among the computed polymorphs: 35 meV per atom

***

[7]
Computed, not measured: a geometry-optimized Ni2IrPbI structure at the PBE level of DFT.

```
5
Lattice="4.657 0.000 0.000 0.000 5.030 0.000 0.000 0.000 4.657" Properties=species:S:1:pos:R:3 pbc="T T T"
Pb 2.328 2.515 2.328
I 0.000 0.000 0.000
Ir 0.000 2.515 0.000
Ni 0.000 0.000 2.328
Ni 2.328 0.000 0.000
```

- Crystal system: tetragonal
- Formation energy from raw total energies: 5.1 eV/f.u.
- D(E_F): 1.25 states/eV/f.u.

***

[8]
Computed, not measured: a geometry-optimized PmIn2Hg8 structure at the PBE level of DFT.

```
11
Lattice="3.414 -0.089 -0.430 -1.377 9.099 -6.465 0.573 -1.308 11.155" Properties=species:S:1:pos:R:3 pbc="T T T"
Pm 1.707 -0.044 -0.215
In -0.928 6.704 -2.411
In 0.125 1.086 7.101
Hg 2.232 7.374 1.453
Hg 2.663 5.070 5.354
Hg 0.539 4.956 2.868
Hg 1.593 2.317 4.726
Hg 1.018 5.384 -0.467
Hg 2.071 2.746 1.392
Hg -0.053 2.632 -1.094
Hg 0.379 0.328 2.807
```

- Crystal system: monoclinic
- E_form: -0.02 eV/atom
- D(E_F): 6.45 states/eV/f.u.

***

[9]
Computed, not measured: a geometry-optimized YSe2O structure at the PBE level of DFT.

```
8
Lattice="5.384 0.000 0.000 0.000 5.384 0.000 2.692 2.692 6.732" Properties=species:S:1:pos:R:3 pbc="T T T"
Y 0.000 0.000 0.000
Y 5.384 2.692 3.366
O 2.692 2.692 0.000
O 2.692 5.384 3.366
Se 3.562 1.346 1.683
Se 1.822 4.038 1.683
Se 4.038 4.514 5.049
Se 6.730 6.254 5.049
```

- Crystal system: tetragonal
- Formation energy from raw total energies: -2.1 eV/f.u.
- D(E_F): 0.55 states/eV/f.u.

***

[10]
Computed, not measured: a geometry-optimized EuNpO3 structure at the PBE level of DFT.

```
20
Lattice="-0.206 -4.556 -3.825 4.817 -2.554 2.783 -5.266 -4.187 5.270" Properties=species:S:1:pos:R:3 pbc="T T T"
Eu 0.853 -2.268 2.515
Eu -1.508 -9.029 1.714
Eu -3.819 -5.613 2.118
Eu 3.165 -5.685 2.110
Np 0.000 0.000 0.000
Np 2.306 -3.555 -0.521
Np -2.633 -2.094 2.635
Np -0.327 -5.649 2.114
O 0.567 -2.152 -0.252
O -1.222 -9.145 4.481
O -3.651 -8.330 2.701
O 0.734 -7.590 2.523
O 2.996 -2.968 1.527
O -1.389 -3.707 1.705
O 1.041 -4.523 3.485
O -1.695 -6.774 0.744
O 1.207 -5.269 0.484
O -1.861 -6.029 3.744
O 0.601 -6.105 6.144
O -1.256 -5.192 -1.916
```

- Crystal system: orthorhombic
- Formation energy from raw total energies: -15.0 eV/f.u.
- D(E_F): 10.35 states/eV/f.u.

***

[11]
Computed, not measured: a geometry-optimized Mg3InHg structure at the PBE level of DFT.

```
10
Lattice="3.251 -0.005 0.001 -0.013 7.891 0.004 -0.002 0.004 9.143" Properties=species:S:1:pos:R:3 pbc="T T T"
Mg 0.278 7.260 5.320
Mg 0.280 2.401 6.332
Mg 0.281 2.408 0.741
Mg 0.293 5.535 8.126
Mg 0.280 7.265 1.765
Mg 0.291 4.131 3.554
In 1.919 0.380 8.115
In 1.921 1.389 3.543
Hg 1.917 4.830 1.271
Hg 1.915 4.831 5.842
```

- Crystal system: triclinic
- E_form: -0.10 eV/atom
- Relative energy among the computed polymorphs: 0 meV per atom
- D(E_F): 2.11 states/eV/f.u.

***

[12]
Computed, not measured: a geometry-optimized Li2AsRu structure at the PBE level of DFT.

```
4
Lattice="5.058 -0.026 0.020 4.104 2.956 0.020 1.568 0.502 3.647" Properties=species:S:1:pos:R:3 pbc="T T T"
As 2.682 0.858 0.922
Li 9.134 2.921 0.053
Li 5.393 1.725 1.830
Ru 8.047 2.574 2.765
```

- Crystal system: orthorhombic
- E_form: -0.22 eV/atom
- D(E_F): 2.80 states/eV/f.u.

***

[13]
Computed, not measured: a geometry-optimized Ac4Pr5Sm4 structure at the PBE level of DFT.

```
13
Lattice="5.186 0.000 1.318 2.595 9.617 0.651 0.221 0.020 9.989" Properties=species:S:1:pos:R:3 pbc="T T T"
Ac 6.114 4.441 8.522
Ac 4.094 2.878 5.613
Ac 1.887 5.195 3.437
Ac 3.907 6.759 6.345
Pr 5.953 8.244 9.159
Pr 2.049 1.392 2.800
Pr 0.000 0.000 0.000
Pr 4.845 7.413 2.657
Pr 3.156 2.224 9.302
Sm 5.003 3.659 2.037
Sm 2.998 5.978 9.921
Sm 6.878 8.881 5.517
Sm 1.123 0.755 6.442
```

- Crystal system: monoclinic
- E_form: 0.03 eV/atom
- D(E_F): 22.42 states/eV/f.u.

***

[14]
Computed, not measured: a geometry-optimized BaTe3P structure at the PBE level of DFT.

```
20
Lattice="7.939 0.000 -0.310 0.000 8.427 0.000 -0.017 0.000 10.817" Properties=species:S:1:pos:R:3 pbc="T T T"
Ba 7.743 4.973 2.353
Ba 4.156 0.760 2.590
Ba 0.179 3.454 8.154
Ba 3.766 7.667 7.916
Te 1.459 5.897 5.813
Te 2.486 1.684 10.257
Te 6.463 2.530 4.693
Te 5.436 6.744 0.250
Te 7.287 8.385 8.042
Te 4.596 4.171 7.718
Te 0.635 0.043 2.465
Te 3.326 4.256 2.789
Te 5.517 6.560 4.734
Te 6.383 2.347 0.209
Te 2.405 1.867 5.773
Te 1.540 6.080 10.297
P 3.628 5.100 0.482
P 0.333 0.886 4.771
P 4.294 3.327 10.024
P 7.589 7.541 5.736
```

- Crystal system: monoclinic
- Formation energy from raw total energies: -3.5 eV/f.u.
- Relative energy among the computed polymorphs: 0 meV per atom

***

[15]
Computed, not measured: a geometry-optimized PrMg2ZnPd4 structure at the PBE level of DFT.

```
8
Lattice="-3.694 1.910 -1.709 -1.355 -1.048 -4.158 -6.334 -5.945 1.130" Properties=species:S:1:pos:R:3 pbc="T T T"
Pr 0.000 0.000 0.000
Mg -8.362 -3.577 -3.669
Mg -3.021 -1.506 -1.068
Zn -5.691 -2.541 -2.368
Pd -7.111 -4.443 -1.427
Pd -6.853 -1.555 -4.670
Pd -4.530 -3.528 -0.067
Pd -4.272 -0.639 -3.310
```

- Crystal system: trigonal
- E_form: -0.65 eV/atom
- D(E_F): 3.28 states/eV/f.u.

***

[16]
Computed, not measured: a geometry-optimized Ac8Pr3Ho2 structure at the PBE level of DFT.

```
13
Lattice="-5.134 5.003 1.298 -3.364 -3.273 -8.042 -5.361 -7.584 0.674" Properties=species:S:1:pos:R:3 pbc="T T T"
Ac -9.602 -2.029 -3.203
Ac -4.256 -3.826 -2.867
Ac -5.929 1.920 -0.408
Ac -7.929 -7.775 -5.662
Ac -5.874 -0.465 -3.672
Ac -6.615 -2.063 -0.439
Ac -7.244 -3.792 -5.631
Ac -7.984 -5.390 -2.398
Pr -2.567 2.501 0.649
Pr -5.037 -6.886 -0.738
Pr -3.687 -3.972 -6.630
Ho -3.219 -0.603 -1.036
Ho -10.640 -5.251 -5.034
```

- Crystal system: monoclinic
- E_form: 0.23 eV/atom
- D(E_F): 20.54 states/eV/f.u.

***

[17]
Computed, not measured: a geometry-optimized CaAcTlI6 structure at the PBE level of DFT.

```
18
Lattice="-4.620 -3.437 -5.896 8.217 -0.526 -0.371 -0.473 -12.987 7.941" Properties=species:S:1:pos:R:3 pbc="T T T"
Ca -0.459 -5.714 -2.070
Ca 3.583 -11.237 3.743
Ac 3.820 -4.743 -0.228
Ac -0.696 -12.207 1.901
Tl 0.000 0.000 0.000
Tl -0.236 -6.493 3.971
I 2.167 -4.232 -3.012
I -1.714 -5.266 -4.934
I 6.188 -9.914 2.539
I 4.838 -11.684 6.608
I 1.049 -6.258 0.653
I 0.466 -8.545 -3.123
I 4.784 -14.006 2.808
I -3.064 -7.036 -0.866
I 2.658 -8.405 4.796
I -1.660 -2.945 -1.135
I 2.075 -10.693 1.020
I 0.957 -12.718 4.685
```

- Crystal system: trigonal
- Formation energy from raw total energies: -12.3 eV/f.u.
- D(E_F): 0.00 states/eV/f.u.

***

[18]
Computed, not measured: a geometry-optimized Si3TeO structure at the PBE level of DFT.

```
5
Lattice="4.418 0.000 0.000 0.000 4.418 0.000 0.000 0.000 4.418" Properties=species:S:1:pos:R:3 pbc="T T T"
Si 0.000 2.209 0.000
Si 0.000 0.000 2.209
Si 2.209 0.000 0.000
Te 2.209 2.209 2.209
O 0.000 0.000 0.000
```

- Crystal system: cubic
- Formation energy from raw total energies: 1.7 eV/f.u.
- Relative energy among the computed polymorphs: 0 meV per atom
- D(E_F): 3.51 states/eV/f.u.

***

[19]
Computed, not measured: a geometry-optimized LaTcNi structure at the PBE level of DFT.

```
3
Lattice="-3.979 0.736 0.805 1.163 -3.679 -1.460 0.555 -1.435 4.059" Properties=species:S:1:pos:R:3 pbc="T T T"
La 0.555 -1.435 4.059
Ni -0.273 -2.925 1.324
Tc -1.987 -1.454 2.080
```

- Crystal system: hexagonal
- E_form: 0.09 eV/atom
- Relative energy among the computed polymorphs: 158 meV per atom
- D(E_F): 3.49 states/eV/f.u.

***

[20]
Computed, not measured: a geometry-optimized Tl5Cd2Hg4 structure at the PBE level of DFT.

```
11
Lattice="-2.260 2.111 0.962 -2.961 0.497 -8.050 -6.366 -12.112 6.179" Properties=species:S:1:pos:R:3 pbc="T T T"
Tl -3.901 -3.759 -0.913
Tl -7.686 -5.744 0.003
Tl -5.496 -3.492 -5.249
Tl -1.130 1.056 0.481
Tl -6.091 -6.012 4.339
Cd -1.738 -2.093 0.510
Cd -9.848 -7.411 -1.420
Hg -6.854 -3.805 -2.299
Hg -0.973 0.163 -2.646
Hg -4.733 -5.699 1.389
Hg -1.988 0.334 -5.405
```

- Crystal system: orthorhombic
- E_form: 0.12 eV/atom
- Relative energy among the computed polymorphs: 77 meV per atom
- D(E_F): 5.30 states/eV/f.u.

***

no.,E_tot (eV per atom)
1,-3.41
2,-9.87
3,-3.31
4,-7.20
5,-8.87
6,-3.70
7,-4.11
8,-1.17
9,-5.12
10,-10.62
11,-1.66
12,-4.65
13,-4.52
14,-4.05
15,-4.40
16,-4.11
17,-3.34
18,-4.52
19,-6.93
20,-1.23